Here is BaFeO3 after structural relaxation from Alexandria. Energies are from GGA+U.

a b c (Å): 5.8270 5.8270 19.4776
angles (deg): 90.00 90.00 120.00
Space group P6_3/mmc (No. 194)
Unique sites:
Ba  0.0000  0.0000  0.0000
Ba  0.0000  0.0000  0.2500
Ba  0.3333  0.6667  0.1286
Fe  0.3333  0.6667  0.5495
Fe  0.3333  0.6667  0.6839
O  0.0000  0.5000  0.0000
O  0.0415  0.5208  0.7500
O  0.1836  0.3671  0.6291

Values from the calculation:
**Uncorrected energy**: -0.4648 Ry per atom